PBE MnFeMo2, relaxed; formation energy = 11.4 kJ per mole of atoms; E above lowest polymorph = 9 meV/atom; Fermi-level density of states = 3.8 states/eV per cell
1.0
1.563 -2.136 0.000
1.563 2.136 0.000
0.000 0.000 8.297
Mn Fe Mo
1 1 2
direct
0.000 0.000 0.000
0.500 0.500 0.773
0.000 0.000 0.525
0.500 0.500 0.247

=====

PBE Na2NiTe4, relaxed; uncorrected formation energy = -1.34 eV per formula unit; Fermi-level density of states = 6.5 states/eV per cell
1.0
-2.658 2.658 7.584
2.658 -2.658 7.584
2.658 2.658 -7.584
Na Ni Te
2 1 4
direct
0.132 0.132 0.000
0.868 0.868 0.000
0.500 0.500 0.000
0.000 0.500 0.500
0.338 0.338 0.000
0.500 0.000 0.500
0.662 0.662 0.000

=====

PBE CrHg3, relaxed; formation energy = 31.0 kJ per mole of atoms; Fermi-level density of states = 2.3 states/eV per cell
1.0
2.236 -2.245 0.000
2.236 2.245 0.000
0.000 0.000 8.613
Cr Hg
1 3
direct
0.000 0.000 0.000
0.000 0.000 0.500
0.500 0.500 0.218
0.500 0.500 0.782

=====

PBE Li2TaTl, relaxed; formation energy = 27.5 kJ per mole of atoms; Fermi-level density of states = 3.4 states/eV per cell
1.0
3.006 0.000 0.000
0.000 3.006 0.000
0.000 0.000 8.068
Li Ta Tl
2 1 1
direct
0.000 0.000 0.000
0.500 0.500 0.223
0.000 0.000 0.470
0.500 0.500 0.759

=====

PBE Y2BeCd, relaxed; formation energy = 8.2 kJ per mole of atoms; E above lowest polymorph = 225 meV/atom; Fermi-level density of states = 4.0 states/eV per cell
1.0
3.302 0.000 0.000
0.000 3.302 0.000
0.000 0.000 8.522
Y Be Cd
2 1 1
direct
0.000 0.000 0.000
0.500 0.500 0.331
0.000 0.000 0.554
0.500 0.500 0.721

=====

PBE Li5Br3O2, relaxed; uncorrected formation energy = -12.89 eV per formula unit
1.0
-1.983 1.983 10.732
1.983 -1.983 10.732
1.983 1.983 -10.732
Li Br O
5 3 2
direct
0.000 0.000 0.000
0.186 0.186 0.000
0.593 0.093 0.500
0.814 0.814 0.000
0.907 0.407 0.500
0.313 0.313 0.000
0.500 0.500 0.000
0.687 0.687 0.000
0.093 0.093 0.000
0.907 0.907 0.000